[1]
DFT (PBE) results for a geometry-optimized ThAlPd structure.

Results
Space group = No. 189
VASP energy = -6.042 eV per atom

abc: 7.005 7.005 4.519
angles: 90.00 90.00 120.00
Sites, in units of the cell vectors:
Pd 0.242 0.000 0.000
Pd 0.758 0.758 0.000
Pd 0.000 0.242 0.000
Th 0.000 0.563 0.500
Th 0.563 0.000 0.500
Th 0.437 0.437 0.500
Al 0.667 0.333 0.000
Al 0.333 0.667 0.000
Al 0.000 0.000 0.500

[2]
DFT (PBE) results for a geometry-optimized Dy3HoSn2C2 structure.

Results
Space group = No. 156
VASP energy = -6.147 eV per atom

abc: 3.617 3.617 15.851
angles: 90.00 90.00 120.00
Sites, in units of the cell vectors:
C 0.667 0.333 0.500
C 0.667 0.333 0.000
Dy 0.333 0.667 0.916
Dy 0.000 0.000 0.416
Dy 0.333 0.667 0.585
Sn 0.333 0.667 0.250
Sn 0.000 0.000 0.750
Ho 0.000 0.000 0.084

[3]
DFT (PBE) results for a geometry-optimized LuHfCoPb structure.

Results
Excess energy over the best structure of this formula in the dataset = 0 meV per atom
Space group = No. 216
VASP energy = -5.988 eV per atom

abc: 4.884 4.884 4.884
angles: 60.00 60.00 60.00
Each line ends with the local moment (μB).
Sites, in units of the cell vectors:
Co 0.750 0.750 0.750  0.35
Lu 0.250 0.250 0.250  -0.04
Pb 0.000 0.000 0.000  0.00
Hf 0.500 0.500 0.500  -0.10

[4]
DFT (PBE) results for a geometry-optimized GdTlZnTe3 structure.

Results
Excess energy over the best structure of this formula in the dataset = 22 meV per atom
Space group = No. 11
VASP energy = -3.773 eV per atom

abc: 8.886 4.376 11.189
angles: 90.00 108.72 90.00
Sites, in units of the cell vectors:
Te 0.944 0.750 0.147
Te 0.729 0.750 0.556
Te 0.056 0.250 0.853
Te 0.271 0.250 0.444
Te 0.444 0.750 0.159
Te 0.556 0.250 0.841
Gd 0.190 0.250 0.142
Gd 0.810 0.750 0.858
Tl 0.237 0.750 0.707
Tl 0.763 0.250 0.293
Zn 0.421 0.750 0.389
Zn 0.579 0.250 0.611